The following is a DFT calculation (SCAN) of a PBEsol-optimized structure of LaYSc2.

a = 7.6454 Å, b = 7.6454 Å, c = 7.6454 Å
α = 90.00°, β = 90.00°, γ = 90.00°
Last column: nearest neighbours and their distance in Å.
Space group Fm-3m (No. 225)
Inequivalent atoms, fractional coordinates:
La1 0.0000 0.0000 0.0000  8 Sc 3.31
Y1 0.0000 0.0000 0.5000  8 Sc 3.31
Sc1 0.2500 0.2500 0.2500  4 La 3.31, 4 Y 3.31

The calculated formation energy is 0.07 eV per atom. The value obtained for the energy above the most stable polymorph in this dataset is 2 meV per atom. The calculation puts the total moment at 0.00 μB per formula unit. The density of states at the Fermi level comes out at 1.171 states/eV per atom.